Version A
The following is a PBEsol calculation of Mo2N after structural relaxation, from Alexandria.

Values from the calculation:
**V**: 11.75 A^3/atom
**SG**: No. 141

POSCAR file:
```
Mo2N
1.0
-2.105 2.105 3.980
2.105 -2.105 3.980
2.105 2.105 -3.980
Mo N
4 2
Cartesian
2.105 1.052 -1.077
0.000 1.052 0.913
2.105 1.052 3.067
0.000 1.052 5.057
2.105 1.052 0.995
0.000 1.052 2.985
```



Version B
The following is a PBEsol calculation of Mo2N after structural relaxation, from Alexandria.

Values from the calculation:
**V**: 11.73 A^3/atom
**SG**: No. 166

POSCAR file:
```
Mo2N
1.0
1.437 0.830 4.916
-1.437 0.830 4.916
0.000 -1.660 4.916
Mo N
2 1
Cartesian
0.000 0.000 3.588
0.000 0.000 11.160
0.000 0.000 0.000
```



Most stable: version A



Version A
The following is a PBEsol calculation of Na2MoO4 after structural relaxation, from Alexandria.

Values from the calculation:
**V**: 14.99 A^3/atom
**SG**: No. 70

POSCAR file:
```
Na2MoO4
1.0
0.000 5.174 6.339
3.199 0.000 6.339
3.199 5.174 0.000
Na Mo O
4 2 8
Cartesian
2.399 0.579 4.754
3.998 3.166 7.923
2.399 7.182 4.754
3.998 9.769 7.923
2.399 3.880 4.754
3.998 6.467 7.923
3.405 2.808 5.735
3.405 4.953 3.774
5.004 5.395 6.943
1.393 2.808 3.774
5.004 7.540 8.904
1.393 4.953 5.735
2.992 5.395 8.904
2.992 7.540 6.943
```



Version B
The following is a PBEsol calculation of Na2MoO4 after structural relaxation, from Alexandria.

Values from the calculation:
**V**: 13.34 A^3/atom
**SG**: No. 227

POSCAR file:
```
Na2MoO4
1.0
0.000 4.537 4.537
4.537 0.000 4.537
4.537 4.537 0.000
Na Mo O
4 2 8
Cartesian
0.000 0.000 0.000
2.269 2.269 0.000
2.269 0.000 2.269
0.000 2.269 2.269
3.403 3.403 3.403
5.671 5.671 5.671
2.380 2.380 2.380
4.425 4.425 2.380
4.425 2.380 4.425
6.694 4.649 4.649
2.380 4.425 4.425
4.649 6.694 4.649
4.649 4.649 6.694
6.694 6.694 6.694
```



Most stable: version B



Version A
The following is a PBEsol calculation of NaSi3Mo after structural relaxation, from Alexandria.

Values from the calculation:
**V**: 20.21 A^3/atom
**SG**: No. 221

POSCAR file:
```
NaSi3Mo
1.0
4.658 0.000 0.000
0.000 4.658 0.000
0.000 0.000 4.658
Na Si Mo
1 3 1
Cartesian
0.000 0.000 0.000
0.000 0.000 2.329
0.000 2.329 0.000
2.329 0.000 0.000
2.329 2.329 2.329
```



Version B
The following is a PBEsol calculation of NaSi3Mo after structural relaxation, from Alexandria.

Values from the calculation:
**V**: 21.35 A^3/atom
**SG**: No. 221

POSCAR file:
```
NaSi3Mo
1.0
4.744 0.000 0.000
0.000 4.744 0.000
0.000 0.000 4.744
Na Si Mo
1 3 1
Cartesian
0.000 0.000 0.000
0.000 2.372 2.372
2.372 0.000 2.372
2.372 2.372 0.000
2.372 2.372 2.372
```



Most stable: version B



Version A
The following is a PBEsol calculation of Ni2Mo after structural relaxation, from Alexandria.

Values from the calculation:
**V**: 11.92 A^3/atom
**SG**: No. 12

POSCAR file:
```
Ni2Mo
1.0
4.691 -1.296 0.000
4.691 1.296 0.000
-1.664 0.000 5.879
Ni Mo
4 2
Cartesian
1.316 0.000 0.209
0.792 0.000 3.726
6.925 0.000 2.152
6.402 0.000 5.670
3.303 0.000 4.149
4.415 0.000 1.730
```



Version B
The following is a PBEsol calculation of Ni2Mo after structural relaxation, from Alexandria.

Values from the calculation:
**V**: 11.90 A^3/atom
**SG**: No. 139

POSCAR file:
```
Ni2Mo
1.0
-1.291 1.291 5.356
1.291 -1.291 5.356
1.291 1.291 -5.356
Ni Mo
2 1
Cartesian
0.000 0.000 1.851
0.000 0.000 8.862
0.000 0.000 5.356
```



Most stable: version B



Version A
The following is a PBEsol calculation of Ni2Mo after structural relaxation, from Alexandria.

Values from the calculation:
**V**: 11.85 A^3/atom
**SG**: No. 71

POSCAR file:
```
Ni2Mo
1.0
-1.292 1.809 3.804
1.292 -1.809 3.804
1.292 1.809 -3.804
Ni Mo
2 1
Cartesian
0.000 0.000 1.287
0.000 0.000 6.322
0.000 0.000 3.804
```



Version B
The following is a PBEsol calculation of Ni2Mo after structural relaxation, from Alexandria.

Values from the calculation:
**V**: 11.78 A^3/atom
**SG**: No. 194

POSCAR file:
```
Ni2Mo
1.0
4.632 0.000 0.000
-2.316 4.011 0.000
0.000 0.000 7.611
Ni Mo
8 4
Cartesian
0.000 0.000 0.000
0.000 0.000 3.806
0.000 1.357 1.903
-1.141 3.333 1.903
1.175 0.678 5.709
1.141 3.333 1.903
3.457 0.678 5.709
2.316 2.654 5.709
0.000 2.674 4.250
0.000 2.674 7.167
2.316 1.337 0.444
2.316 1.337 3.362
```



Most stable: version A



Version A
The following is a PBEsol calculation of NiMoOs after structural relaxation, from Alexandria.

Values from the calculation:
**V**: 16.04 A^3/atom
**SG**: No. 216

POSCAR file:
```
NiMoOs
1.0
0.000 2.887 2.887
2.887 0.000 2.887
2.887 2.887 0.000
Ni Mo Os
1 1 1
Cartesian
0.000 0.000 0.000
2.887 2.887 2.887
4.330 4.330 4.330
```



Version B
The following is a PBEsol calculation of NiMoOs after structural relaxation, from Alexandria.

Values from the calculation:
**V**: 13.37 A^3/atom
**SG**: No. 187

POSCAR file:
```
NiMoOs
1.0
4.203 0.000 0.000
-2.102 3.640 0.000
0.000 0.000 2.622
Ni Mo Os
1 1 1
Cartesian
0.000 0.000 0.000
0.000 2.427 0.000
2.102 1.213 1.311
```



Version C
The following is a PBEsol calculation of NiMoOs after structural relaxation, from Alexandria.

Values from the calculation:
**V**: 13.24 A^3/atom
**SG**: No. 107

POSCAR file:
```
NiMoOs
1.0
-1.326 1.326 5.646
1.326 -1.326 5.646
1.326 1.326 -5.646
Ni Mo Os
1 1 1
Cartesian
0.000 0.000 0.000
0.000 0.000 7.498
0.000 0.000 3.855
```



Most stable: version B



Version A
The following is a PBEsol calculation of NiMoOs3 after structural relaxation, from Alexandria.

Values from the calculation:
**V**: 15.97 A^3/atom
**SG**: No. 221

POSCAR file:
```
NiMoOs3
1.0
4.306 0.000 0.000
0.000 4.306 0.000
0.000 0.000 4.306
Ni Mo Os
1 1 3
Cartesian
0.000 0.000 0.000
2.153 2.153 2.153
0.000 0.000 2.153
0.000 2.153 0.000
2.153 0.000 0.000
```



Version B
The following is a PBEsol calculation of NiMoOs3 after structural relaxation, from Alexandria.

Values from the calculation:
**V**: 19.32 A^3/atom
**SG**: No. 221

POSCAR file:
```
NiMoOs3
1.0
4.588 0.000 0.000
0.000 4.588 0.000
0.000 0.000 4.588
Ni Mo Os
1 1 3
Cartesian
0.000 0.000 0.000
2.294 2.294 2.294
0.000 2.294 2.294
2.294 0.000 2.294
2.294 2.294 0.000
```



Most stable: version A



Version A
The following is a PBEsol calculation of NiMoPb2 after structural relaxation, from Alexandria.

Values from the calculation:
**V**: 18.77 A^3/atom
**SG**: No. 166

POSCAR file:
```
NiMoPb2
1.0
1.601 0.925 8.453
-1.601 0.925 8.453
0.000 -1.849 8.453
Ni Mo Pb
1 1 2
Cartesian
0.000 0.000 0.000
0.000 0.000 12.679
0.000 0.000 6.475
0.000 0.000 18.883
```



Version B
The following is a PBEsol calculation of NiMoPb2 after structural relaxation, from Alexandria.

Values from the calculation:
**V**: 18.48 A^3/atom
**SG**: No. 225

POSCAR file:
```
NiMoPb2
1.0
0.000 3.331 3.331
3.331 0.000 3.331
3.331 3.331 0.000
Ni Mo Pb
1 1 2
Cartesian
0.000 0.000 0.000
3.331 3.331 3.331
1.666 1.666 1.666
4.997 4.997 4.997
```



Most stable: version A



Version A
The following is a PBEsol calculation of NiMo2Pt after structural relaxation, from Alexandria.

Values from the calculation:
**V**: 13.86 A^3/atom
**SG**: No. 139

POSCAR file:
```
NiMo2Pt
1.0
-1.855 1.855 4.027
1.855 -1.855 4.027
1.855 1.855 -4.027
Ni Mo Pt
1 2 1
Cartesian
0.000 0.000 0.000
1.855 0.000 2.013
0.000 1.855 2.013
0.000 0.000 4.027
```



Version B
The following is a PBEsol calculation of NiMo2Pt after structural relaxation, from Alexandria.

Values from the calculation:
**V**: 14.03 A^3/atom
**SG**: No. 8

POSCAR file:
```
NiMo2Pt
1.0
4.424 -1.326 0.000
4.424 1.326 0.000
-0.686 0.000 4.782
Ni Mo Pt
1 2 1
Cartesian
0.000 0.000 0.000
1.732 0.000 3.743
4.078 0.000 2.389
6.462 0.000 1.237
```



Most stable: version A



Version A
The following is a PBEsol calculation of NiMo2Pt after structural relaxation, from Alexandria.

Values from the calculation:
**V**: 13.98 A^3/atom
**SG**: No. 99

POSCAR file:
```
NiMo2Pt
1.0
2.671 0.000 0.000
0.000 2.671 0.000
0.000 0.000 7.835
Ni Mo Pt
1 2 1
Cartesian
0.000 0.000 0.000
0.000 0.000 3.867
1.336 1.336 6.108
1.336 1.336 1.905
```



Version B
The following is a PBEsol calculation of NiMo2Pt after structural relaxation, from Alexandria.

Values from the calculation:
**V**: 13.91 A^3/atom
**SG**: No. 65

POSCAR file:
```
NiMo2Pt
1.0
2.623 -3.993 0.000
2.623 3.993 0.000
0.000 0.000 2.657
Ni Mo Pt
1 2 1
Cartesian
0.000 0.000 0.000
1.311 1.996 1.328
1.311 -1.996 1.328
2.623 0.000 0.000
```



Most stable: version B



Version A
The following is a PBEsol calculation of NiMoRh2 after structural relaxation, from Alexandria.

Values from the calculation:
**V**: 13.13 A^3/atom
**SG**: No. 119

POSCAR file:
```
NiMoRh2
1.0
-1.856 1.856 3.812
1.856 -1.856 3.812
1.856 1.856 -3.812
Ni Mo Rh
1 1 2
Cartesian
0.000 0.000 0.000
0.000 1.856 1.906
1.856 0.000 1.906
0.000 0.000 3.812
```



Version B
The following is a PBEsol calculation of NiMoRh2 after structural relaxation, from Alexandria.

Values from the calculation:
**V**: 13.32 A^3/atom
**SG**: No. 225

POSCAR file:
```
NiMoRh2
1.0
0.000 2.987 2.987
2.987 0.000 2.987
2.987 2.987 0.000
Ni Mo Rh
1 1 2
Cartesian
0.000 0.000 0.000
2.987 2.987 2.987
1.493 1.493 1.493
4.480 4.480 4.480
```



Most stable: version A



Version A
The following is a PBEsol calculation of NiMoRh2 after structural relaxation, from Alexandria.

Values from the calculation:
**V**: 13.13 A^3/atom
**SG**: No. 139

POSCAR file:
```
NiMoRh2
1.0
-1.890 1.890 3.675
1.890 -1.890 3.675
1.890 1.890 -3.675
Ni Mo Rh
1 1 2
Cartesian
0.000 0.000 0.000
0.000 0.000 3.675
1.890 0.000 1.838
0.000 1.890 1.838
```



Version B
The following is a PBEsol calculation of NiMoRh2 after structural relaxation, from Alexandria.

Values from the calculation:
**V**: 13.12 A^3/atom
**SG**: No. 123

POSCAR file:
```
NiMoRh2
1.0
3.784 0.000 0.000
0.000 3.784 0.000
0.000 0.000 3.664
Ni Mo Rh
1 1 2
Cartesian
0.000 0.000 0.000
1.892 1.892 0.000
0.000 1.892 1.832
1.892 0.000 1.832
```



Most stable: version A



Version A
The following is a PBEsol calculation of NiMoRu2 after structural relaxation, from Alexandria.

Values from the calculation:
**V**: 13.04 A^3/atom
**SG**: No. 123

POSCAR file:
```
NiMoRu2
1.0
3.780 0.000 0.000
0.000 3.780 0.000
0.000 0.000 3.649
Ni Mo Ru
1 1 2
Cartesian
0.000 0.000 0.000
1.890 1.890 0.000
0.000 1.890 1.824
1.890 0.000 1.824
```



Version B
The following is a PBEsol calculation of NiMoRu2 after structural relaxation, from Alexandria.

Values from the calculation:
**V**: 13.27 A^3/atom
**SG**: No. 166

POSCAR file:
```
NiMoRu2
1.0
1.338 0.772 8.566
-1.338 0.772 8.566
0.000 -1.544 8.566
Ni Mo Ru
1 1 2
Cartesian
0.000 0.000 0.000
0.000 0.000 12.850
0.000 0.000 6.501
0.000 0.000 19.198
```



Version C
The following is a PBEsol calculation of NiMoRu2 after structural relaxation, from Alexandria.

Values from the calculation:
**V**: 13.20 A^3/atom
**SG**: No. 65

POSCAR file:
```
NiMoRu2
1.0
2.669 -3.656 0.000
2.669 3.656 0.000
0.000 0.000 2.706
Ni Mo Ru
1 1 2
Cartesian
0.000 0.000 0.000
2.669 0.000 0.000
1.334 1.828 1.353
1.334 -1.828 1.353
```



Version D
The following is a PBEsol calculation of NiMoRu2 after structural relaxation, from Alexandria.

Values from the calculation:
**V**: 13.30 A^3/atom
**SG**: No. 10

POSCAR file:
```
NiMoRu2
1.0
2.613 0.000 0.000
0.000 4.296 0.000
-0.458 0.000 4.738
Ni Mo Ru
1 1 2
Cartesian
0.000 0.000 0.000
1.078 0.000 2.369
0.204 2.148 3.648
1.952 2.148 1.090
```



Most stable: version A